(1)
This record from the Alexandria database describes a relaxed structure of Rb2AsPdCl6. The functional is PBE.

It has space group I4/mmm (No. 139), with a = 7.230 Å, b = 7.230 Å, c = 10.178 Å, α = 90.00°, β = 90.00° and γ = 90.00°. The asymmetric unit holds Rb at (0.000, 0.500, 0.250), As at (0.000, 0.000, 0.000), Pd at (0.000, 0.000, 0.500), Cl at (0.000, 0.000, 0.249) and Cl at (0.248, 0.248, 0.000).

Its formation energy from raw total energies is -10.9 eV per formula unit.


(2)
This record from the Alexandria database describes a relaxed structure of La2ReIr. The functional is PBE.

It has space group Pm (No. 6), with a = 4.688 Å, b = 4.475 Å, c = 5.620 Å, α = 90.00°, β = 114.64° and γ = 90.00°. The asymmetric unit holds La at (0.000, 0.000, 0.000), La at (0.297, 0.500, 0.596), Re at (0.693, 0.000, 0.389) and Ir at (0.598, 0.500, 0.196).

The calculation puts the formation energy at -157 meV/atom. The calculation puts the relative energy among the computed polymorphs at 0.00 eV per formula unit.


(3)
This record from the Alexandria database describes a relaxed structure of TaBeIn2. The functional is PBE.

It has space group Pmm2 (No. 25), with a = 3.021 Å, b = 3.714 Å, c = 6.991 Å, α = 90.00°, β = 90.00° and γ = 90.00°. The asymmetric unit holds Ta at (0.000, 0.000, 0.000), Be at (0.500, 0.500, 0.898), In at (0.500, 0.000, 0.630) and In at (0.500, 0.500, 0.283).

The calculation puts the formation energy at 277 meV/atom.


(4)
This record from the Alexandria database describes a relaxed structure of Pa2AlCo. The functional is PBE.

It has space group Pnna (No. 52), with a = 5.838 Å, b = 5.874 Å, c = 9.671 Å, α = 90.00°, β = 90.00° and γ = 90.00°. The asymmetric unit holds Pa at (0.052, 0.224, 0.093), Al at (0.020, 0.250, 0.750) and Co at (0.250, 0.000, 0.612).

The calculation puts the formation energy at -180 meV/atom. The calculation puts the relative energy among the computed polymorphs at 0.00 eV per formula unit.


(5)
This record from the Alexandria database describes a relaxed structure of Sc2PtAu. The functional is PBE.

It has space group R-3m (No. 166, hexagonal axes), with a = 3.8774 Å, b = 3.8774 Å, c = 19.5501 Å, α = 90.00°, β = 90.00° and γ = 120.00°. The asymmetric unit holds Sc at (0.0000, 0.0000, 0.2434), Pt at (0.0000, 0.0000, 0.5000) and Au at (0.0000, 0.0000, 0.0000).

The calculation puts the formation energy at -842 meV/atom.


(6)
This record from the Alexandria database describes a relaxed structure of AcGeF5. The functional is PBE.

It has space group Cc (No. 9), with a = 7.385 Å, b = 6.951 Å, c = 9.346 Å, α = 90.00°, β = 100.84° and γ = 90.00°. The asymmetric unit holds Ac at (0.000, 0.034, 0.000), Ge at (0.482, 0.068, 0.786), F at (0.066, 0.380, 0.932), F at (0.224, 0.242, 0.502), F at (0.270, 0.085, 0.209), F at (0.349, 0.185, 0.920) and F at (0.413, 0.482, 0.236).

Its formation energy from raw total energies is -22.7 eV per formula unit.


(7)
This record from the Alexandria database describes a relaxed structure of CaSbPI2. The functional is PBE.

It has space group P4/mmm (No. 123), with a = 5.926 Å, b = 5.926 Å, c = 6.507 Å, α = 90.00°, β = 90.00° and γ = 90.00°. The asymmetric unit holds Ca at (0.000, 0.000, 0.000), Sb at (0.000, 0.000, 0.500), P at (0.500, 0.500, 0.500) and I at (0.000, 0.500, 0.000).

Its formation energy from raw total energies is 1.6 eV per formula unit. The calculation puts the relative energy among the computed polymorphs at 2.07 eV per formula unit.


(8)
This record from the Alexandria database describes a relaxed structure of Cd2HgTe. The functional is PBE.

It has space group Pmmm (No. 47), with a = 3.139 Å, b = 4.238 Å, c = 8.058 Å, α = 90.00°, β = 90.00° and γ = 90.00°. The asymmetric unit holds Cd at (0.000, 0.000, 0.227), Hg at (0.500, 0.500, 0.000) and Te at (0.000, 0.500, 0.500).

Its formation energy from raw total energies is -0.1 eV per formula unit. The calculation puts the relative energy among the computed polymorphs at 0.36 eV per formula unit.